The following is a DFT calculation (GGA-PBE) of an optimized crystal structure of Al2ZnGa4.

Calculated density, g/cm³: 5.22
Relative energy among the computed polymorphs, kcal/mol of atoms: 0.00
N(E_F), states/eV/atom: 0.30

```
data_Al2ZnGa4
_space_group_name_H-M_alt 'P 1 21/m 1'
_space_group_IT_number 11
_cell_length_a 6.3571
_cell_length_b 5.1486
_cell_length_c 8.1918
_cell_angle_alpha 90.00
_cell_angle_beta 109.03
_cell_angle_gamma 90.00
loop_
_space_group_symop_operation_xyz
'x,y,z'
'-x,-y,-z'
'-x,y+1/2,-z'
'x,-y+1/2,z'
loop_
_atom_site_label
_atom_site_type_symbol
_atom_site_fract_x
_atom_site_fract_y
_atom_site_fract_z
_atom_site_occupancy
Al1 Al 0.1388 0.2500 0.0532 1
Al2 Al 0.2620 0.2500 0.5106 1
Zn1 Zn 0.3067 0.7500 0.3145 1
Ga1 Ga 0.0863 0.9999 0.7353 1
Ga2 Ga 0.4203 0.7500 0.0313 1
Ga3 Ga 0.4537 0.7500 0.6792 1
```

The following is a DFT calculation (GGA-PBE) of an optimized crystal structure of UCu4Pd.

Calculated density, g/cm³: 11.25
N(E_F), states/eV/atom: 1.51

```
data_UCu4Pd
_space_group_name_H-M_alt 'F -4 3 m'
_space_group_IT_number 216
_space_group_name_Hall 'F -4 2 3'
_cell_length_a 7.0697
_cell_length_b 7.0697
_cell_length_c 7.0697
_cell_angle_alpha 90.00
_cell_angle_beta 90.00
_cell_angle_gamma 90.00
loop_
_atom_site_label
_atom_site_type_symbol
_atom_site_fract_x
_atom_site_fract_y
_atom_site_fract_z
_atom_site_occupancy
U1 U 0.0000 0.0000 0.0000 1
Cu1 Cu 0.1241 0.1241 0.6241 1
Pd1 Pd 0.2500 0.2500 0.2500 1
```

The following is a DFT calculation (GGA-PBE) of an optimized crystal structure of TbPrZnGe.

Calculated density, g/cm³: 7.57
Relative energy among the computed polymorphs, kcal/mol of atoms: 1.67
N(E_F), states/eV/atom: 0.68

```
data_TbPrZnGe
_space_group_name_H-M_alt 'F -4 3 m'
_space_group_IT_number 216
_space_group_name_Hall 'F -4 2 3'
_cell_length_a 7.2703
_cell_length_b 7.2703
_cell_length_c 7.2703
_cell_angle_alpha 90.00
_cell_angle_beta 90.00
_cell_angle_gamma 90.00
loop_
_atom_site_label
_atom_site_type_symbol
_atom_site_fract_x
_atom_site_fract_y
_atom_site_fract_z
_atom_site_occupancy
Tb1 Tb 0.0000 0.0000 0.0000 1
Pr1 Pr 0.0000 0.0000 0.5000 1
Zn1 Zn 0.2500 0.2500 0.2500 1
Ge1 Ge 0.2500 0.2500 0.7500 1
```

Number 1: total energy -2.9047 eV per atom, DFT formation energy 0.076 eV/atom. Number 2: total energy -5.5578 eV per atom, DFT formation energy -0.080 eV/atom. Number 3: total energy -4.3406 eV per atom, DFT formation energy -0.515 eV/atom.